DFT (GGA-PBE) results for SnTeP2Pd after structural relaxation.

a = 5.153 Å, b = 4.905 Å, c = 5.153 Å
α = 90.00°, β = 90.00°, γ = 90.00°
Atoms (fractional coordinates):
P1 0.000 0.000 0.500
P2 0.500 0.000 0.000
Te1 0.000 0.000 0.000
Sn1 0.500 0.500 0.500
Pd1 0.000 0.500 0.000

Properties
* energy relative to the elements, uncorrected: 390 kJ/mol of formula units
* crystal system: tetragonal
* symmetry: P4/mmm (123)